{"formula": "NbB3H", "functional": "GGA-PBE", "state": "relaxed", "cell": [[3.398, 0.000, 0.000], [0.000, 3.398, 0.000], [0.000, 0.000, 3.398]], "species": ["Nb", "B", "B", "B", "H"], "frac_coords": [[0.000, 0.000, 0.000], [0.000, 0.500, 0.500], [0.500, 0.000, 0.500], [0.500, 0.500, 0.000], [0.500, 0.500, 0.500]], "energy_ev_per_cell": -29.75, "sg": "Pm-3m"}